No. 1
Ba2LaIrO6 | PBE | relaxed

Unit cell a=6.094 b=6.094 c=6.094 alpha=60.42 beta=60.42 gamma=60.42
Positions (direct):
Ba (0.249, 0.249, 0.249)
Ba (0.751, 0.751, 0.751)
La (0.500, 0.500, 0.500)
Ir (0.000, 0.000, 0.000)
O (0.194, 0.773, 0.264)
O (0.227, 0.736, 0.806)
O (0.264, 0.194, 0.773)
O (0.736, 0.806, 0.227)
O (0.773, 0.264, 0.194)
O (0.806, 0.227, 0.736)

Summary:
**E_form (uncorrected)**: -22.9 eV/f.u.
**Total moment**: 0.203 μB per atom
**DOS(E_F)**: 0.31 states/eV per atom


No. 2
BaLaIr2O | PBE | relaxed

Unit cell a=4.784 b=4.784 c=8.819 alpha=90.00 beta=90.00 gamma=90.00
Positions (direct):
Ba (0.000, 0.000, 0.000)
La (0.000, 0.000, 0.500)
Ir (0.000, 0.500, 0.500)
Ir (0.500, 0.000, 0.500)
O (0.500, 0.500, 0.000)

Summary:
**E_form (uncorrected)**: 4.8 eV/f.u.
**Total moment**: 0.000 μB per atom
**DOS(E_F)**: 1.92 states/eV per atom


No. 3
Ba3LaIrRuO9 | PBE | relaxed

Unit cell a=6.017 b=6.017 c=15.158 alpha=90.00 beta=90.00 gamma=120.00
Positions (direct):
Ba (0.000, 0.000, 0.000)
Ba (0.000, 0.000, 0.500)
Ba (0.333, 0.667, 0.147)
Ba (0.333, 0.667, 0.856)
Ba (0.667, 0.333, 0.356)
Ba (0.667, 0.333, 0.647)
La (0.000, 0.000, 0.251)
La (0.000, 0.000, 0.751)
Ir (0.333, 0.667, 0.417)
Ir (0.667, 0.333, 0.917)
Ru (0.333, 0.667, 0.583)
Ru (0.667, 0.333, 0.083)
O (0.018, 0.509, 0.500)
O (0.179, 0.357, 0.342)
O (0.179, 0.357, 0.655)
O (0.179, 0.821, 0.342)
O (0.179, 0.821, 0.655)
O (0.357, 0.179, 0.155)
O (0.357, 0.179, 0.842)
O (0.491, 0.509, 0.500)
O (0.491, 0.982, 0.500)
O (0.509, 0.018, 0.000)
O (0.509, 0.491, 0.000)
O (0.643, 0.821, 0.342)
O (0.643, 0.821, 0.655)
O (0.821, 0.179, 0.155)
O (0.821, 0.179, 0.842)
O (0.821, 0.643, 0.155)
O (0.821, 0.643, 0.842)
O (0.982, 0.491, 0.000)

Summary:
**E_form (uncorrected)**: -31.8 eV/f.u.
**Total moment**: 0.098 μB per atom
**DOS(E_F)**: 0.47 states/eV per atom


No. 4
RbBa2LaIr | PBE | relaxed

Unit cell a=6.552 b=6.552 c=5.550 alpha=90.00 beta=90.00 gamma=90.00
Positions (direct):
Rb (0.000, 0.000, 0.000)
Ba (0.000, 0.500, 0.500)
Ba (0.500, 0.000, 0.500)
La (0.500, 0.500, 0.000)
Ir (0.500, 0.500, 0.500)

Summary:
**Total moment**: 0.000 μB per atom
**DOS(E_F)**: 0.73 states/eV per atom
**ΔH_f (0 K)**: -106 meV/atom


No. 5
BaLaSc2Ir | PBE | relaxed

Unit cell a=5.345 b=5.345 c=5.593 alpha=90.00 beta=90.00 gamma=90.00
Positions (direct):
Ba (0.000, 0.000, 0.000)
La (0.500, 0.500, 0.000)
Sc (0.000, 0.500, 0.500)
Sc (0.500, 0.000, 0.500)
Ir (0.500, 0.500, 0.500)

Summary:
**Total moment**: 0.000 μB per atom
**DOS(E_F)**: 1.11 states/eV per atom
**ΔH_f (0 K)**: -276 meV/atom


No. 6
Ba2LaScIr | PBE | relaxed

Unit cell a=6.208 b=6.208 c=5.485 alpha=90.00 beta=90.00 gamma=90.00
Positions (direct):
Ba (0.000, 0.500, 0.000)
Ba (0.500, 0.000, 0.000)
La (0.000, 0.000, 0.500)
Sc (0.500, 0.500, 0.500)
Ir (0.000, 0.000, 0.000)

Summary:
**Total moment**: 0.075 μB per atom
**DOS(E_F)**: 1.08 states/eV per atom
**ΔH_f (0 K)**: 129 meV/atom


Question: Which of these has the highest DOS(E_F)?
Answer: BaLaIr2O